First-principles (PBE) data for a relaxed YAlPd3 crystal, as listed in the Alexandria database.

Geometry as CIF:
```
data_YAlPd3
_chemical_formula_sum 'Y9 Al9 Pd27'
_cell_length_a 6.2116
_cell_length_b 6.2116
_cell_length_c 25.4751
_cell_angle_alpha 90.00
_cell_angle_beta 90.00
_cell_angle_gamma 120.00
_symmetry_space_group_name_H-M 'R -3 m'
_symmetry_Int_Tables_number 166
_symmetry_space_group_name_Hall '-R 3 2"'
loop_
_atom_site_label
_atom_site_type_symbol
_atom_site_fract_x
_atom_site_fract_y
_atom_site_fract_z
Y1 Y 0.0000 0.0000 0.0000
Y2 Y 0.0000 0.0000 0.2264
Al1 Al 0.0000 0.0000 0.3969
Al2 Al 0.0000 0.0000 0.5000
Pd1 Pd 0.0000 0.5000 0.0000
Pd2 Pd 0.0483 0.5241 0.7812
```

Computed properties:
ΔE_f (meV per atom): -728
Crystal system: trigonal
Magnetization (μB/f.u.): 0.00
Final energy (eV/atom): -5.89


First-principles (PBE) data for a relaxed CeYTcPt crystal, as listed in the Alexandria database.

Geometry as CIF:
```
data_CeYTcPt
_chemical_formula_sum 'Ce4 Y4 Tc4 Pt4'
_cell_length_a 6.971
_cell_length_b 6.971
_cell_length_c 6.971
_cell_angle_alpha 90.00
_cell_angle_beta 90.00
_cell_angle_gamma 90.00
_symmetry_space_group_name_H-M 'F -4 3 m'
_symmetry_Int_Tables_number 216
_symmetry_space_group_name_Hall 'F -4 2 3'
loop_
_atom_site_label
_atom_site_type_symbol
_atom_site_fract_x
_atom_site_fract_y
_atom_site_fract_z
Ce1 Ce 0.000 0.000 0.000
Y1 Y 0.000 0.000 0.500
Tc1 Tc 0.250 0.250 0.250
Pt1 Pt 0.250 0.250 0.750
```

Computed properties:
ΔE_f (meV per atom): -505
Crystal system: cubic
Magnetization (μB/f.u.): 0.00
Final energy (eV/atom): -7.71


First-principles (PBE) data for a relaxed KRbV2Cl8 crystal, as listed in the Alexandria database.

Geometry as CIF:
```
data_KRbV2Cl8
_chemical_formula_sum 'K3 Rb3 V6 Cl24'
_cell_length_a 6.9144
_cell_length_b 6.9144
_cell_length_c 28.8427
_cell_angle_alpha 90.00
_cell_angle_beta 90.00
_cell_angle_gamma 120.00
_symmetry_space_group_name_H-M 'R -3'
_symmetry_Int_Tables_number 148
_symmetry_space_group_name_Hall '-R 3'
loop_
_atom_site_label
_atom_site_type_symbol
_atom_site_fract_x
_atom_site_fract_y
_atom_site_fract_z
K1 K 0.0000 0.0000 0.0000
Rb1 Rb 0.0000 0.0000 0.5000
V1 V 0.0000 0.0000 0.2437
Cl1 Cl 0.0000 0.0000 0.1666
Cl2 Cl 0.0040 0.6170 0.9347
```

Computed properties:
ΔE_f (raw) (eV per atom): -1.456
Crystal system: trigonal
Magnetization (μB/f.u.): 4.00
Final energy (eV/atom): -4.38


First-principles (PBE) data for a relaxed MnPtSe2Br crystal, as listed in the Alexandria database.

Geometry as CIF:
```
data_MnPtSe2Br
_chemical_formula_sum 'Mn1 Pt1 Se2 Br1'
_cell_length_a 4.994
_cell_length_b 4.994
_cell_length_c 5.100
_cell_angle_alpha 90.00
_cell_angle_beta 90.00
_cell_angle_gamma 90.00
_symmetry_space_group_name_H-M 'P 4/m m m'
_symmetry_Int_Tables_number 123
_symmetry_space_group_name_Hall '-P 4 2'
loop_
_atom_site_label
_atom_site_type_symbol
_atom_site_fract_x
_atom_site_fract_y
_atom_site_fract_z
Mn1 Mn 0.000 0.000 0.000
Pt1 Pt 0.500 0.500 0.500
Se1 Se 0.000 0.500 0.500
Br1 Br 0.500 0.500 0.000
```

Computed properties:
ΔE_f (raw) (eV per atom): 0.433
Crystal system: tetragonal
Magnetization (μB/f.u.): 4.73
Final energy (eV/atom): -4.34